! Sm2CuHPd6 (PBE, optimized geometry); values from VASP
&SYSTEM
  ibrav = 0, nat = 10, ntyp = 4
/
ATOMIC_SPECIES
H 1.01 H.upf
Pd 106.42 Pd.upf
Sm 150.36 Sm.upf
Cu 63.55 Cu.upf
ATOMIC_POSITIONS crystal
H 0.5000 0.5000 0.0000
Pd 0.7703 0.3112 0.9615
Pd 0.2297 0.6888 0.0385
Pd 0.7288 0.6870 0.5405
Pd 0.2712 0.3130 0.4595
Pd 0.2698 0.3093 0.9630
Pd 0.7302 0.6907 0.0370
Sm 0.7240 0.1728 0.5535
Sm 0.2760 0.8272 0.4465
Cu 0.0000 0.0000 0.0000
CELL_PARAMETERS angstrom
5.7352 0.0131 -0.0133
-0.0192 6.8019 -0.7279
2.8649 2.8929 4.0509
! Calculated density, g cm⁻³: 9.786
! V, Å³ per atom: 17.03
! VASP energy, eV/atom: -5.392